Computed, not measured: an optimized crystal structure of Cu11Ag9 at the PBE-GGA level of DFT.

a b c (Å): 6.1132 8.7248 11.9273
angles (deg): 73.19 84.18 73.40
With the nearest neighbours (Å) after each atom.
Space group P1 (No. 1)
Asymmetric unit:
Cu 0.0000 0.0000 0.0000 x1  8 Cu 2.56-2.85, 4 Ag 2.64-2.76
Cu 0.0143 0.7358 0.9392 x1  6 Cu 2.52-2.72, 4 Ag 2.69-2.75
Cu 0.0789 0.1739 0.7846 x1  5 Cu 2.63-2.79, 7 Ag 2.69-2.84
Cu 0.1436 0.6229 0.6262 x1  8 Ag 2.62-2.87, 4 Cu 2.67-2.84
Cu 0.2187 0.7953 0.3903 x1  7 Cu 2.59-2.84, 5 Ag 2.69-2.83
Cu 0.2473 0.5392 0.3160 x1  7 Cu 2.49-2.75, 2 Ag 2.75-2.78
Cu 0.3036 0.6987 0.1103 x1  7 Cu 2.49-2.77, 3 Ag 2.63-2.65
Cu 0.3515 0.1512 0.9491 x1  6 Cu 2.63-2.83, 6 Ag 2.67-2.94
Cu 0.3973 0.6058 0.8009 x1  4 Cu 2.67-2.95, 8 Ag 2.67-2.81
Cu 0.4312 0.3297 0.7282 x1  5 Ag 2.66-2.70, 7 Cu 2.68-2.84
Cu 0.4958 0.5093 0.4930 x1  6 Cu 2.61-2.84, 6 Ag 2.67-2.85
Cu 0.5582 0.9454 0.3427 x1  4 Cu 2.67-2.73, 8 Ag 2.67-2.85
Cu 0.5774 0.6821 0.2677 x1  9 Cu 2.59-2.75, 3 Ag 2.71-2.75
Cu 0.6175 0.4153 0.1947 x1  6 Cu 2.52-2.69, 3 Ag 2.66-2.77
Cu 0.6671 0.8470 0.0553 x1  8 Cu 2.52-2.81, 3 Ag 2.66-2.76
Cu 0.6951 0.5772 0.9894 x1  6 Cu 2.52-2.77, 3 Ag 2.72-2.73
Cu 0.7301 0.0303 0.8393 x1  7 Cu 2.56-2.80, 5 Ag 2.66-2.86
Cu 0.8009 0.2058 0.6083 x1  8 Ag 2.63-2.90, 4 Cu 2.68-2.82
Cu 0.9072 0.0935 0.2956 x1  7 Ag 2.62-2.90, 5 Cu 2.72-2.85
Cu 0.9335 0.8207 0.2193 x1  9 Cu 2.55-2.74, 3 Ag 2.64-2.71
Cu 0.9479 0.5676 0.1494 x1  9 Cu 2.54-2.80, 3 Ag 2.71-2.77
Cu 0.9736 0.2848 0.0773 x1  6 Cu 2.62-2.85, 6 Ag 2.67-2.85
Ag 0.0691 0.4480 0.8524 x1  8 Cu 2.66-2.91, 4 Ag 2.73-2.87
Ag 0.0954 0.9054 0.7127 x1  6 Cu 2.69-2.87, 6 Ag 2.76-2.91
Ag 0.1640 0.3559 0.5532 x1  6 Cu 2.67-2.89, 6 Ag 2.75-2.85
Ag 0.1783 0.0777 0.4705 x1  8 Ag 2.72-2.95, 4 Cu 2.74-2.85
Ag 0.2511 0.2613 0.2439 x1  6 Cu 2.67-2.86, 6 Ag 2.72-2.85
Ag 0.2716 0.9754 0.1690 x1  10 Cu 2.65-2.77, 2 Ag 2.84-2.85
Ag 0.3296 0.4475 0.0255 x1  7 Cu 2.63-2.85, 4 Ag 2.72-2.94
Ag 0.3790 0.8689 0.8954 x1  9 Cu 2.63-2.82, 3 Ag 2.79-2.87
Ag 0.4639 0.0568 0.6628 x1  4 Cu 2.66-2.74, 8 Ag 2.77-2.95
Ag 0.4682 0.7758 0.5716 x1  5 Cu 2.62-2.79, 6 Ag 2.73-2.91
Ag 0.5406 0.2302 0.4186 x1  6 Ag 2.71-2.93, 6 Cu 2.72-2.85
Ag 0.6438 0.1209 0.1269 x1  8 Cu 2.62-2.87, 3 Ag 2.75-2.84
Ag 0.7020 0.3050 0.9013 x1  8 Cu 2.66-2.85, 4 Ag 2.75-2.80
Ag 0.7535 0.7444 0.7627 x1  5 Cu 2.72-2.87, 7 Ag 2.74-2.91
Ag 0.7726 0.4751 0.6718 x1  6 Cu 2.63-2.85, 6 Ag 2.75-2.87
Ag 0.8377 0.9236 0.5234 x1  7 Ag 2.72-2.90, 5 Cu 2.75-2.87
Ag 0.8635 0.6604 0.4386 x1  7 Cu 2.64-2.85, 5 Ag 2.71-2.87
Ag 0.8759 0.3877 0.3695 x1  7 Cu 2.66-2.90, 5 Ag 2.71-2.85

Excess energy over the best structure of this formula in the dataset, meV/atom: 5
V, Å³ per cell: 583.5
E, eV per atom: -3.218